1.
Computed, not measured: a relaxed structure of Tb8YHo4 at the PBE-GGA level of DFT.

Cell: 7.259 7.260 10.070 Å, 90.00 111.12 120.00°
Element x y z (fractional)
1 Tb 0.569 0.785 0.354
2 Tb 0.431 0.215 0.646
3 Tb 0.497 0.249 0.299
4 Tb 0.949 0.198 0.701
5 Tb 0.503 0.751 0.701
6 Tb 0.949 0.751 0.701
7 Tb 0.051 0.249 0.299
8 Tb 0.051 0.802 0.299
9 Y 0.000 0.500 0.500
10 Ho 0.000 0.000 0.000
11 Ho 0.000 0.500 0.000
12 Ho 0.500 0.500 0.000
13 Ho 0.500 0.000 0.000

formation enthalpy at 0 K	0.22	eV per atom
E	-59.0	eV for the cell shown
crystal system	trigonal

2.
Computed, not measured: a relaxed structure of Tb3Y2Ho9 at the PBE-GGA level of DFT.

Cell: 6.222 13.661 10.452 Å, 39.95 56.05 54.16°
Element x y z (fractional)
1 Tb 0.100 0.070 0.895
2 Tb 0.599 0.267 0.366
3 Tb 0.371 0.713 0.670
4 Y 0.571 0.298 0.666
5 Y 0.368 0.704 0.337
6 Ho 0.969 0.497 0.510
7 Ho 0.761 0.900 0.857
8 Ho 0.294 0.068 0.166
9 Ho 0.391 0.706 0.991
10 Ho 0.599 0.296 0.017
11 Ho 0.803 0.900 0.494
12 Ho 0.183 0.099 0.507
13 Ho 0.005 0.486 0.851
14 Ho 0.985 0.497 0.173

formation enthalpy at 0 K	0.11	eV per atom
E	-66.5	eV for the cell shown
crystal system	triclinic

3.
Computed, not measured: a relaxed structure of Tb12Y2Ho5 at the PBE-GGA level of DFT.

Cell: 6.157 12.799 14.663 Å, 113.86 94.06 136.07°
Element x y z (fractional)
1 Tb 0.265 0.317 0.238
2 Tb 0.684 0.421 0.816
3 Tb 0.525 0.631 0.973
4 Tb 0.158 0.789 0.342
5 Tb 0.949 0.737 0.553
6 Tb 0.790 0.948 0.711
7 Tb 0.210 0.052 0.289
8 Tb 0.842 0.211 0.658
9 Tb 0.051 0.263 0.447
10 Tb 0.316 0.579 0.184
11 Tb 0.475 0.369 0.027
12 Tb 0.735 0.683 0.762
13 Y 0.578 0.894 0.921
14 Y 0.422 0.106 0.079
15 Ho 0.893 0.473 0.604
16 Ho 0.369 0.842 0.132
17 Ho 0.000 0.000 0.500
18 Ho 0.631 0.158 0.868
19 Ho 0.107 0.527 0.396

ΔE to the lowest computed polymorph	0.0	kJ per mole of atoms
formation enthalpy at 0 K	0.02	eV per atom
E	-91.1	eV for the cell shown
crystal system	triclinic

4.
Computed, not measured: a relaxed structure of Tb19Y6Ho4 at the PBE-GGA level of DFT.

Cell: 10.791 10.791 10.791 Å, 109.47 109.47 109.47°
Element x y z (fractional)
1 Tb 0.741 0.000 0.741
2 Tb 0.259 0.000 0.259
3 Tb 0.259 0.259 0.000
4 Tb 0.741 0.741 0.000
5 Tb 0.000 0.741 0.741
6 Tb 0.000 0.259 0.259
7 Tb 0.000 0.000 0.000
8 Tb 0.195 0.215 0.537
9 Tb 0.805 0.342 0.020
10 Tb 0.678 0.658 0.463
11 Tb 0.020 0.805 0.342
12 Tb 0.322 0.785 0.980
13 Tb 0.537 0.195 0.215
14 Tb 0.980 0.322 0.785
15 Tb 0.463 0.678 0.658
16 Tb 0.785 0.980 0.322
17 Tb 0.342 0.020 0.805
18 Tb 0.215 0.537 0.195
19 Tb 0.658 0.463 0.678
20 Y 0.372 0.500 0.872
21 Y 0.628 0.500 0.128
22 Y 0.128 0.628 0.500
23 Y 0.872 0.372 0.500
24 Y 0.500 0.872 0.372
25 Y 0.500 0.128 0.628
26 Ho 0.000 0.000 0.641
27 Ho 0.000 0.641 0.000
28 Ho 0.359 0.359 0.359
29 Ho 0.641 0.000 0.000

formation enthalpy at 0 K	0.38	eV per atom
E	-133.9	eV for the cell shown
crystal system	cubic